1.
# AlCdSb, optimized geometry, DFT GGA-PBE
# Distance to the lowest polymorph of the same formula ... 38.3 meV/atom
# Space-group type ... Cm
# Total magnetization ... 0.000 μB/atom
# Energy ... -2.8231 eV/atom
data_AlCdSb
_cell_length_a 4.3292
_cell_length_b 4.3292
_cell_length_c 5.1452
_cell_angle_alpha 112.18
_cell_angle_beta 112.18
_cell_angle_gamma 62.16
_symmetry_space_group_name_H-M 'P 1'
_symmetry_Int_Tables_number 1
loop_
_symmetry_equiv_pos_as_xyz
'x,y,z'
loop_
_atom_site_label
_atom_site_type_symbol
_atom_site_fract_x
_atom_site_fract_y
_atom_site_fract_z
Al1 Al 0.0000 0.0000 0.0000
Cd1 Cd 0.2374 0.2374 0.6898
Sb1 Sb 0.7540 0.7540 0.2866

=====

2.
# Al2CdSb, optimized geometry, DFT GGA-PBE
# Distance to the lowest polymorph of the same formula ... 51.0 meV/atom
# Space-group type ... Cmm2
# Total magnetization ... 0.000 μB/atom
# Energy ... -2.9700 eV/atom
data_Al2CdSb
_cell_length_a 3.1948
_cell_length_b 3.1948
_cell_length_c 8.4847
_cell_angle_alpha 90.00
_cell_angle_beta 90.00
_cell_angle_gamma 90.23
_symmetry_space_group_name_H-M 'P 1'
_symmetry_Int_Tables_number 1
loop_
_symmetry_equiv_pos_as_xyz
'x,y,z'
loop_
_atom_site_label
_atom_site_type_symbol
_atom_site_fract_x
_atom_site_fract_y
_atom_site_fract_z
Al1 Al 0.0000 0.0000 0.0000
Al2 Al 0.5000 0.5000 0.1928
Cd1 Cd 0.0000 0.0000 0.4314
Sb1 Sb 0.5000 0.5000 0.7372

=====

3.
# AlCd2Sb, optimized geometry, DFT GGA-PBE
# Distance to the lowest polymorph of the same formula ... 38.0 meV/atom
# Space-group type ... C2/m
# Total magnetization ... 0.000 μB/atom
# Energy ... -2.2947 eV/atom
data_AlCd2Sb
_cell_length_a 5.8867
_cell_length_b 5.8867
_cell_length_c 5.4774
_cell_angle_alpha 108.10
_cell_angle_beta 108.10
_cell_angle_gamma 31.02
_symmetry_space_group_name_H-M 'P 1'
_symmetry_Int_Tables_number 1
loop_
_symmetry_equiv_pos_as_xyz
'x,y,z'
loop_
_atom_site_label
_atom_site_type_symbol
_atom_site_fract_x
_atom_site_fract_y
_atom_site_fract_z
Al1 Al 0.0000 0.0000 0.0000
Cd1 Cd 0.2662 0.2662 0.7639
Cd2 Cd 0.7338 0.7338 0.2361
Sb1 Sb 0.5000 0.5000 0.5000

=====

4.
# Al2CdSb2, optimized geometry, DFT GGA-PBE
# Distance to the lowest polymorph of the same formula ... 85.5 meV/atom
# Space-group type ... P4/mbm
# Total magnetization ... 0.000 μB/atom
# Energy ... -3.1725 eV/atom
data_Al2CdSb2
_cell_length_a 7.8097
_cell_length_b 7.8097
_cell_length_c 3.7933
_cell_angle_alpha 90.00
_cell_angle_beta 90.00
_cell_angle_gamma 90.00
_symmetry_space_group_name_H-M 'P 1'
_symmetry_Int_Tables_number 1
loop_
_symmetry_equiv_pos_as_xyz
'x,y,z'
loop_
_atom_site_label
_atom_site_type_symbol
_atom_site_fract_x
_atom_site_fract_y
_atom_site_fract_z
Al1 Al 0.1294 0.3706 0.0000
Al2 Al 0.3706 0.8706 0.0000
Al3 Al 0.6294 0.1294 0.0000
Al4 Al 0.8706 0.6294 0.0000
Cd1 Cd 0.0000 0.0000 0.0000
Cd2 Cd 0.5000 0.5000 0.0000
Sb1 Sb 0.1660 0.6660 0.5000
Sb2 Sb 0.3340 0.1660 0.5000
Sb3 Sb 0.6660 0.8340 0.5000
Sb4 Sb 0.8340 0.3340 0.5000

=====

5.
# AlCdSb2, optimized geometry, DFT GGA-PBE
# Distance to the lowest polymorph of the same formula ... 108.0 meV/atom
# Space-group type ... P2/m
# Total magnetization ... 0.000 μB/atom
# Energy ... -3.1092 eV/atom
data_AlCdSb2
_cell_length_a 3.0996
_cell_length_b 4.0675
_cell_length_c 8.2591
_cell_angle_alpha 90.00
_cell_angle_beta 95.21
_cell_angle_gamma 90.00
_symmetry_space_group_name_H-M 'P 1'
_symmetry_Int_Tables_number 1
loop_
_symmetry_equiv_pos_as_xyz
'x,y,z'
loop_
_atom_site_label
_atom_site_type_symbol
_atom_site_fract_x
_atom_site_fract_y
_atom_site_fract_z
Al1 Al 0.0000 0.0000 0.0000
Cd1 Cd 0.5000 0.0000 0.5000
Sb1 Sb 0.2548 0.5000 0.2311
Sb2 Sb 0.7452 0.5000 0.7689

=====

6.
# Al2CdSb, optimized geometry, DFT GGA-PBE
# Distance to the lowest polymorph of the same formula ... 194.9 meV/atom
# Space-group type ... I-42d
# Total magnetization ... 0.000 μB/atom
# Energy ... -2.8260 eV/atom
data_Al2CdSb
_cell_length_a 7.1494
_cell_length_b 7.1494
_cell_length_c 7.1494
_cell_angle_alpha 124.01
_cell_angle_beta 124.01
_cell_angle_gamma 83.19
_symmetry_space_group_name_H-M 'P 1'
_symmetry_Int_Tables_number 1
loop_
_symmetry_equiv_pos_as_xyz
'x,y,z'
loop_
_atom_site_label
_atom_site_type_symbol
_atom_site_fract_x
_atom_site_fract_y
_atom_site_fract_z
Al1 Al 0.1202 0.6250 0.9952
Al2 Al 0.3750 0.3702 0.4952
Al3 Al 0.6298 0.1250 0.0048
Al4 Al 0.8750 0.8798 0.5048
Cd1 Cd 0.2500 0.7500 0.5000
Cd2 Cd 0.5000 0.5000 0.0000
Sb1 Sb 0.0000 0.0000 0.0000
Sb2 Sb 0.7500 0.2500 0.5000